(1)
The following is a PBEsol calculation of Ti3ZnF after structural relaxation, from Alexandria.

Computed properties:
The energy above the most stable polymorph in this dataset is 0.00 eV per formula unit. The crystal system is cubic. The magnetization comes out at 0.0 μB/cell.

a b c (Å): 4.1137 4.1137 4.1137
angles (deg): 90.00 90.00 90.00
Last column: nearest neighbours and their distance in Å.
Element x y z (fractional)
Ti 0.0000 0.0000 0.5000  2 F 2.06
Ti 0.0000 0.5000 0.0000  2 F 2.06
Ti 0.5000 0.0000 0.0000  2 F 2.06
Zn 0.5000 0.5000 0.5000  12 Ti 2.91
F 0.0000 0.0000 0.0000  6 Ti 2.06

(2)
The following is a PBEsol calculation of TiZn3F after structural relaxation, from Alexandria.

Computed properties:
The crystal system is cubic. The magnetization comes out at 2.8 μB/cell.

a b c (Å): 5.0700 5.0700 5.0700
angles (deg): 90.00 90.00 90.00
Last column: nearest neighbours and their distance in Å.
Element x y z (fractional)
Ti 0.0000 0.0000 0.0000  6 Zn 2.53
Zn 0.0000 0.0000 0.5000  2 Ti 2.53
Zn 0.0000 0.5000 0.0000  2 Ti 2.53
Zn 0.5000 0.0000 0.0000  2 Ti 2.53
F 0.5000 0.5000 0.5000  12 Zn 3.59

(3)
The following is a PBEsol calculation of TiZnF5 after structural relaxation, from Alexandria.

Computed properties:
The crystal system is monoclinic. The magnetization comes out at 2.0 μB/cell.

a b c (Å): 5.3012 5.3012 7.3862
angles (deg): 110.41 110.41 72.67
Last column: nearest neighbours and their distance in Å.
Element x y z (fractional)
Ti 0.0000 0.0000 0.0000  6 F 1.90-2.02
Ti 0.0000 0.0000 0.5000  6 F 1.90-2.02
Zn 0.4731 0.5269 0.7500  5 F 1.97-2.15
Zn 0.5269 0.4731 0.2500  5 F 1.97-2.15
F 0.1304 0.8696 0.7500  2 Ti 2.02, 1 Zn 2.15
F 0.2083 0.2811 0.6345  1 Ti 1.90, 1 Zn 1.97
F 0.2811 0.2083 0.1345  1 Ti 1.90, 1 Zn 1.97
F 0.2840 0.6710 0.0423  1 Ti 1.97, 1 Zn 2.01
F 0.3290 0.7160 0.4577  1 Ti 1.97, 1 Zn 2.01
F 0.6710 0.2840 0.5423  1 Ti 1.97, 1 Zn 2.01
F 0.7160 0.3290 0.9577  1 Ti 1.97, 1 Zn 2.01
F 0.7189 0.7917 0.8655  1 Ti 1.90, 1 Zn 1.97
F 0.7917 0.7189 0.3655  1 Ti 1.90, 1 Zn 1.97
F 0.8696 0.1304 0.2500  2 Ti 2.02, 1 Zn 2.15

(4)
The following is a PBEsol calculation of Tl3VF6 after structural relaxation, from Alexandria.

Computed properties:
The crystal system is cubic. The magnetization comes out at 2.0 μB/cell.

a b c (Å): 6.3538 6.3538 6.3538
angles (deg): 60.00 60.00 60.00
Last column: nearest neighbours and their distance in Å.
Element x y z (fractional)
Tl 0.0000 0.0000 0.0000  6 F 2.57
Tl 0.2500 0.2500 0.2500  12 F 3.19
Tl 0.7500 0.7500 0.7500  12 F 3.19
V 0.5000 0.5000 0.5000  6 F 1.92
F 0.2859 0.2859 0.7141  1 V 1.92
F 0.2859 0.7141 0.2859  1 V 1.92
F 0.2859 0.7141 0.7141  1 V 1.92
F 0.7141 0.2859 0.2859  1 V 1.92
F 0.7141 0.2859 0.7141  1 V 1.92
F 0.7141 0.7141 0.2859  1 V 1.92

(5)
The following is a PBEsol calculation of YTlWF2 after structural relaxation, from Alexandria.

Computed properties:
The crystal system is tetragonal. The magnetization comes out at 3.9 μB/cell.

a b c (Å): 4.4108 4.4108 6.5491
angles (deg): 90.00 90.00 90.00
Last column: nearest neighbours and their distance in Å.
Element x y z (fractional)
Y 0.0000 0.0000 0.0000  4 W 3.12, 2 Tl 3.27
Tl 0.0000 0.0000 0.5000  4 F 2.21
W 0.5000 0.5000 0.0000  4 Y 3.12
F 0.0000 0.5000 0.5000  2 Tl 2.21
F 0.5000 0.0000 0.5000  2 Tl 2.21

(6)
The following is a PBEsol calculation of UF3 after structural relaxation, from Alexandria.

Computed properties:
The crystal system is hexagonal. The magnetization comes out at 18.0 μB/cell.

a b c (Å): 7.0371 7.0371 7.2686
angles (deg): 90.00 90.00 120.00
Last column: nearest neighbours and their distance in Å.
Element x y z (fractional)
U 0.0000 0.3266 0.0000  8 F 2.37-2.49
U 0.0000 0.6734 0.5000  8 F 2.37-2.49
U 0.3266 0.0000 0.0000  8 F 2.37-2.49
U 0.3266 0.3266 0.5000  8 F 2.37-2.49
U 0.6734 0.0000 0.5000  8 F 2.37-2.49
U 0.6734 0.6734 0.0000  8 F 2.37-2.49
F 0.0000 0.0000 0.4227  3 U 2.37
F 0.0000 0.0000 0.9227  3 U 2.37
F 0.0000 0.2789 0.6714  3 U 2.41-2.49, 7 F 2.53-2.69
F 0.0000 0.3753 0.3354  2 U 2.41-2.46, 3 F 2.53-2.66
F 0.0000 0.6247 0.8354  2 U 2.41-2.46, 3 F 2.53-2.66
F 0.0000 0.7211 0.1714  3 U 2.41-2.49, 7 F 2.53-2.69
F 0.2789 0.0000 0.6714  3 U 2.41-2.49, 7 F 2.53-2.69
F 0.2789 0.2789 0.1714  3 U 2.41-2.49, 7 F 2.53-2.69
F 0.3333 0.6667 0.0575  3 U 2.41, 3 F 2.69
F 0.3333 0.6667 0.5575  3 U 2.41, 3 F 2.69
F 0.3753 0.0000 0.3354  2 U 2.41-2.46, 3 F 2.53-2.66
F 0.3753 0.3753 0.8354  2 U 2.41-2.46, 3 F 2.53-2.66
F 0.6247 0.0000 0.8354  2 U 2.41-2.46, 3 F 2.53-2.66
F 0.6247 0.6247 0.3354  2 U 2.41-2.46, 3 F 2.53-2.66
F 0.6667 0.3333 0.0575  3 U 2.41, 3 F 2.69
F 0.6667 0.3333 0.5575  3 U 2.41, 3 F 2.69
F 0.7211 0.0000 0.1714  3 U 2.41-2.49, 7 F 2.53-2.69
F 0.7211 0.7211 0.6714  3 U 2.41-2.49, 7 F 2.53-2.69

(7)
The following is a PBEsol calculation of UF6 after structural relaxation, from Alexandria.

Computed properties:
The crystal system is orthorhombic. The magnetization comes out at 0.0 μB/cell.

a b c (Å): 9.9040 8.9358 5.2048
angles (deg): 90.00 90.00 90.00
Last column: nearest neighbours and their distance in Å.
Element x y z (fractional)
U 0.1298 0.2500 0.0736  6 F 2.01
U 0.3702 0.7500 0.5736  6 F 2.01
U 0.6298 0.2500 0.4264  6 F 2.01
U 0.8702 0.7500 0.9264  6 F 2.01
F 0.0118 0.0919 0.2308  1 U 2.01
F 0.0118 0.4081 0.2308  1 U 2.01
F 0.0138 0.2500 0.7572  1 U 2.01
F 0.2468 0.0912 0.9173  1 U 2.01
F 0.2471 0.2500 0.3893  1 U 2.01
F 0.2468 0.4088 0.9173  1 U 2.01
F 0.2532 0.5912 0.4173  1 U 2.01
F 0.2529 0.7500 0.8893  1 U 2.01
F 0.2532 0.9088 0.4173  1 U 2.01
F 0.4862 0.7500 0.2572  1 U 2.01
F 0.4882 0.5919 0.7308  1 U 2.01
F 0.4882 0.9081 0.7308  1 U 2.01
F 0.5118 0.0919 0.2692  1 U 2.01
F 0.5118 0.4081 0.2692  1 U 2.01
F 0.5138 0.2500 0.7428  1 U 2.01
F 0.7468 0.0912 0.5827  1 U 2.01
F 0.7471 0.2500 0.1107  1 U 2.01
F 0.7468 0.4088 0.5827  1 U 2.01
F 0.7532 0.5912 0.0827  1 U 2.01
F 0.7529 0.7500 0.6107  1 U 2.01
F 0.7532 0.9088 0.0827  1 U 2.01
F 0.9862 0.7500 0.2428  1 U 2.01
F 0.9882 0.5919 0.7692  1 U 2.01
F 0.9882 0.9081 0.7692  1 U 2.01

Going through the records in order, we get formation energy without anion corrections values of -0.6021; 0.7355; -2.8217; -2.1565; 0.3716; -3.2380; -3.2960 eV/atom.
Going through the records in order, we get ρ values of 5.4; 3.4; 3.9; 7.1; 6.7; 9.4; 5.1 Mg/m³.